(1)
Entry from the Alexandria database: crystalline Ti4Fe2Ge5 at its relaxed geometry (PBE-GGA).

ΔH_f (0 K) = -46.6 kJ/mol of atoms
symmetry = Ibam

Lattice parameters (Å, degrees): 5.073 7.896 9.421 114.77 105.62 90.00
Site moments in Bohr magnetons follow the coordinates.
Fractional positions:
Fe: 0.554 0.304 0.609  1.96
Fe: 0.446 0.696 0.391  1.96
Fe: 0.946 0.696 0.391  1.96
Fe: 0.054 0.304 0.609  1.96
Ge: 0.785 0.989 0.569  -0.03
Ge: 0.425 0.330 0.849  -0.02
Ge: 0.075 0.481 0.151  -0.02
Ge: 0.215 0.011 0.431  -0.03
Ge: 0.285 0.581 0.569  -0.03
Ge: 0.925 0.519 0.849  -0.02
Ge: 0.575 0.670 0.151  -0.02
Ge: 0.715 0.419 0.431  -0.03
Ge: 0.750 0.000 0.000  0.00
Ge: 0.250 0.000 0.000  0.00
Ti: 0.063 0.802 0.126  0.04
Ti: 0.358 0.960 0.716  0.07
Ti: 0.142 0.244 0.284  0.07
Ti: 0.937 0.198 0.874  0.04
Ti: 0.563 0.324 0.126  0.04
Ti: 0.642 0.040 0.284  0.07
Ti: 0.858 0.756 0.716  0.07
Ti: 0.437 0.676 0.874  0.04

=====

(2)
Entry from the Alexandria database: crystalline TbGdP2O8 at its relaxed geometry (PBE-GGA).

raw formation energy = -3.01 eV/atom
symmetry = I-4m2

Lattice parameters (Å, degrees): 5.831 5.831 5.831 105.93 105.93 116.82
Site moments in Bohr magnetons follow the coordinates.
Fractional positions:
O: 0.343 0.517 0.174  0.00
O: 0.483 0.657 0.826  0.00
O: 0.763 0.091 0.673  0.00
O: 0.909 0.237 0.327  0.00
O: 0.909 0.582 0.673  0.00
O: 0.418 0.091 0.327  0.00
O: 0.832 0.657 0.174  0.00
O: 0.343 0.168 0.826  0.00
P: 0.500 0.500 0.000  0.00
P: 0.750 0.250 0.500  0.00
Gd: 0.000 0.000 0.000  6.93
Tb: 0.250 0.750 0.500  0.00

=====

(3)
Entry from the Alexandria database: crystalline SrLaI2N at its relaxed geometry (PBE-GGA).

raw formation energy = -0.89 eV/atom
symmetry = P4/mmm

Lattice parameters (Å, degrees): 6.589 6.589 4.272 90.00 90.00 90.00
Fractional positions:
I: 0.000 0.500 0.000
I: 0.500 0.000 0.000
La: 0.000 0.000 0.000
Sr: 0.500 0.500 0.500
N: 0.000 0.000 0.500

=====

(4)
Entry from the Alexandria database: crystalline KTeRhO2 at its relaxed geometry (PBE-GGA).

raw formation energy = 1.10 eV/atom
symmetry = P4/mmm

Lattice parameters (Å, degrees): 4.354 7.175 4.354 90.00 90.00 90.00
Site moments in Bohr magnetons follow the coordinates.
Fractional positions:
O: 0.500 0.000 0.000  1.00
O: 0.000 0.000 0.500  1.23
Te: 0.000 0.500 0.000  0.27
Rh: 0.500 0.500 0.500  1.19
K: 0.000 0.000 0.000  0.13

=====

(5)
Entry from the Alexandria database: crystalline YAuC at its relaxed geometry (PBE-GGA).

ΔH_f (0 K) = -12.1 kJ/mol of atoms
symmetry = Pnma

Lattice parameters (Å, degrees): 6.878 5.052 5.787 90.00 90.00 90.00
Fractional positions:
Au: 0.964 0.250 0.838
Au: 0.036 0.750 0.162
Au: 0.536 0.750 0.338
Au: 0.464 0.250 0.662
C: 0.330 0.750 0.039
C: 0.830 0.750 0.461
C: 0.170 0.250 0.539
C: 0.670 0.250 0.961
Y: 0.330 0.250 0.150
Y: 0.170 0.750 0.650
Y: 0.830 0.250 0.350
Y: 0.670 0.750 0.850

=====

(6)
Entry from the Alexandria database: crystalline LiAc3Pr3S8 at its relaxed geometry (PBE-GGA).

raw formation energy = -1.96 eV/atom
symmetry = R-3m

Lattice parameters (Å, degrees): 8.298 8.298 8.375 119.70 90.00 120.00
Fractional positions:
S: 0.760 0.008 0.268
S: 0.746 0.491 0.737
S: 0.760 0.520 0.268
S: 0.240 0.480 0.732
S: 0.240 0.992 0.732
S: 0.254 0.509 0.263
S: 0.248 0.008 0.268
S: 0.752 0.992 0.732
Pr: 0.000 0.500 0.500
Pr: 0.500 0.500 0.500
Pr: 0.500 0.000 0.500
Li: 0.000 0.000 0.500
Ac: 0.500 0.500 0.000
Ac: 0.000 0.000 0.000
Ac: 0.000 0.500 0.000